(1)
This record from Alexandria describes VNi2Pt9 after structural relaxation. The functional is PBE-GGA.

```
VNi2Pt9
1.0
3.8974 0.0000 0.0000
0.0000 3.8974 0.0000
0.0000 0.0000 11.6659
V Ni Pt
1 2 9
Cartesian
0.0000 0.0000 0.0000
0.0000 0.0000 3.9385
0.0000 0.0000 7.7274
0.0000 1.9487 1.9191
0.0000 1.9487 5.8330
0.0000 1.9487 9.7469
1.9487 0.0000 1.9191
1.9487 0.0000 5.8330
1.9487 0.0000 9.7469
1.9487 1.9487 0.0000
1.9487 1.9487 3.8788
1.9487 1.9487 7.7871
```

Properties
magnetization = 2.82 μB per cell
crystal system = tetragonal
calculated volume = 14.77 Å³/atom
energy of formation from the pure elements = -0.216 eV/atom

(2)
This record from Alexandria describes V2Ni2Pt5 after structural relaxation. The functional is PBE-GGA.

```
V2Ni2Pt5
1.0
5.8888 -3.2895 0.0000
5.8888 3.2895 0.0000
0.0000 0.0000 6.9288
V Ni Pt
4 4 10
Cartesian
2.6716 0.0000 0.0000
3.2173 0.0000 3.4644
8.5604 0.0000 3.4644
9.1061 0.0000 0.0000
5.8888 2.5064 4.2511
5.8888 0.7831 0.7867
5.8888 -0.7831 6.1421
5.8888 -2.5064 2.6777
0.0000 0.0000 0.0000
4.2366 1.9586 2.2094
4.2366 1.3309 5.6738
7.5411 1.9586 2.2094
7.5411 1.3309 5.6738
5.8888 0.0000 3.4644
4.2366 -1.3309 1.2550
4.2366 -1.9586 4.7194
7.5411 -1.3309 1.2550
7.5411 -1.9586 4.7194
```

Properties
magnetization = 1.50 μB per cell
crystal system = orthorhombic
calculated volume = 14.91 Å³/atom
energy of formation from the pure elements = -0.123 eV/atom

(3)
This record from Alexandria describes V2Ni3Pt4 after structural relaxation. The functional is PBE-GGA.

```
V2Ni3Pt4
1.0
5.7410 -1.8797 0.0000
5.7410 1.8797 0.0000
-1.9425 0.0000 5.6829
V Ni Pt
2 3 4
Cartesian
0.8690 0.0000 2.8048
8.6705 0.0000 2.8781
2.8437 0.0000 4.6747
4.7697 0.0000 2.8415
6.6958 0.0000 1.0082
-1.0175 0.0000 4.6608
2.8152 0.0000 1.0975
6.7243 0.0000 4.5854
10.5570 0.0000 1.0222
```

Properties
magnetization = 1.28 μB per cell
crystal system = monoclinic
ΔE to the lowest computed polymorph = 67 meV/atom
calculated volume = 13.63 Å³/atom
energy of formation from the pure elements = -0.339 eV/atom

(4)
This record from Alexandria describes VNi3Pt6 after structural relaxation. The functional is PBE-GGA.

```
VNi3Pt6
1.0
8.4339 0.0000 0.0000
0.0000 3.8646 0.0000
-0.3124 0.0000 8.6714
V Ni Pt
2 6 12
Cartesian
0.3781 0.9661 3.3581
7.7434 2.8984 5.3133
1.8371 0.9661 8.6531
2.7086 2.8984 6.9673
3.5942 0.9661 5.2480
4.5273 2.8984 3.4234
5.4129 0.9661 1.7041
6.2844 2.8984 0.0183
0.2075 2.8984 7.7940
1.0245 0.9661 6.0191
1.2321 2.8984 1.7765
1.9391 2.8984 4.3974
2.9524 0.9661 2.6865
3.8111 2.8984 0.8657
4.3104 0.9661 7.8057
5.1691 2.8984 5.9849
6.1824 0.9661 4.2740
6.8894 0.9661 6.8949
7.0971 2.8984 2.6523
7.9141 0.9661 0.8774
```

Properties
magnetization = 4.36 μB per cell
crystal system = monoclinic
ΔE to the lowest computed polymorph = 0 meV/atom
calculated volume = 14.13 Å³/atom
energy of formation from the pure elements = -0.232 eV/atom